Ta3RePt after structural relaxation. Source: the Alexandria database, functional GGA-PBE.

Cell: 4.788 4.788 4.788 Å, 90.00 90.00 90.00°
Fractional positions:
Re (0.500, 0.500, 0.500)
Ta (0.000, 0.000, 0.500)
Ta (0.000, 0.500, 0.000)
Ta (0.500, 0.000, 0.000)
Pt (0.000, 0.000, 0.000)

Properties
The value obtained for the total magnetic moment is 0.00 Bohr magnetons per cell. As for the total energy: -0.67510 Ry per atom. The energy above the most stable polymorph in this dataset comes out at 35.0 kJ per mole of atoms. The formation energy is 1.62 eV per atom. The density of states at the Fermi level is 1.13 states/eV/atom.